1.
! NdTeH2 (GGA-PBE, relaxed); values from VASP
&SYSTEM
  ibrav = 0, nat = 8, ntyp = 3
/
ATOMIC_SPECIES
Nd 144.24 Nd.upf
Te 127.60 Te.upf
H 1.01 H.upf
CELL_PARAMETERS angstrom
1.969 -5.990 0.000
1.969 5.990 0.000
0.000 0.000 6.239
ATOMIC_POSITIONS angstrom
Nd 1.969 3.681 4.679
Nd 1.969 -3.681 1.560
Te 1.969 0.287 4.679
Te 1.969 -0.287 1.560
H 1.969 2.842 0.500
H 1.969 2.842 2.619
H 1.969 -2.842 3.620
H 1.969 -2.842 5.739
! - DOS at the Fermi energy: 1.78 states/eV/cell
! - Total moment: 0.0000 μB per atom
! - Total DFT energy (no corrections): -34.446 eV/cell

***

2.
! NdTeH (GGA-PBE, relaxed); values from VASP
&SYSTEM
  ibrav = 0, nat = 6, ntyp = 3
/
ATOMIC_SPECIES
Nd 144.24 Nd.upf
Te 127.60 Te.upf
H 1.01 H.upf
CELL_PARAMETERS angstrom
4.157 0.000 0.000
-2.078 3.600 0.000
0.000 0.000 10.961
ATOMIC_POSITIONS angstrom
Nd 0.000 2.400 1.744
Nd 2.078 1.200 9.217
Te 0.000 2.400 7.314
Te 2.078 1.200 3.647
H 0.000 2.400 10.347
H 2.078 1.200 0.614
! - DOS at the Fermi energy: 0.69 states/eV/cell
! - Total moment: 0.0000 μB per atom
! - Total DFT energy (no corrections): -26.707 eV/cell